[1]
Density functional theory data (PBE) for crystalline Si2TeW at its relaxed geometry.

Cell: 3.0012 3.0012 8.9463 Å, 90.00 90.00 110.67°
Sites, in units of the cell vectors:
1 Si 0.5000 0.5000 0.1911
2 W 0.5000 0.5000 0.7877
3 Te 0.0000 0.0000 0.5278
4 Si 0.0000 0.0000 0.9933

Calculated values
- E_form (uncorrected) (eV per formula unit) = 2.63
- crystal system = orthorhombic
- magnetic moment (μB/f.u.) = 0.0



[2]
Density functional theory data (PBE) for crystalline Si2TeW at its relaxed geometry.

Cell: 4.2238 3.4829 5.2078 Å, 70.59 90.00 90.00°
Sites, in units of the cell vectors:
1 Si 0.0000 0.7948 0.0360
2 W 0.5000 0.9323 0.7600
3 Si 0.5000 0.2382 0.1493
4 Te 0.0000 0.5347 0.5548

Calculated values
- E_form (uncorrected) (eV per formula unit) = 1.48
- crystal system = monoclinic
- magnetic moment (μB/f.u.) = 0.0



[3]
Density functional theory data (PBE) for crystalline Si2TeW at its relaxed geometry.

Cell: 4.7431 4.7431 3.1320 Å, 90.00 90.00 105.80°
Sites, in units of the cell vectors:
1 Te 0.5000 0.0000 0.5000
2 W 0.0000 0.5000 0.5000
3 Si 0.5000 0.5000 0.0000
4 Si 0.0000 0.0000 0.0000

Calculated values
- E_form (uncorrected) (eV per formula unit) = 2.97
- crystal system = orthorhombic
- magnetic moment (μB/f.u.) = 0.0



E (eV for the cell shown)
-24.3 -25.5 -24.0